Record 1
## Ca2ScGe (PBE-GGA)

Data for an optimized crystal structure of Ca2ScGe.

## Properties
VASP energy: -3.745 eV/atom
formation energy: -7 meV/atom

Structure (CIF):
```
data_Ca2ScGe
_chemical_formula_sum 'Ca8 Sc4 Ge4'
_cell_length_a 10.3010
_cell_length_b 10.3010
_cell_length_c 5.3372
_cell_angle_alpha 90.00
_cell_angle_beta 90.00
_cell_angle_gamma 90.00
_symmetry_space_group_name_H-M 'I -4 2 d'
_symmetry_Int_Tables_number 122
_symmetry_space_group_name_Hall 'I -4 2bw'
loop_
_atom_site_label
_atom_site_fract_x
_atom_site_fract_y
_atom_site_fract_z
Ca1 0.1212 0.2500 0.1250
Sc1 0.0000 0.0000 0.5000
Ge1 0.0000 0.0000 0.0000
```

=====

Record 2
## ScCo2Ir (PBE-GGA)

Data for an optimized crystal structure of ScCo2Ir.

## Properties
VASP energy: -7.545 eV/atom
formation energy: -194 meV/atom

Structure (CIF):
```
data_ScCo2Ir
_chemical_formula_sum 'Sc2 Co4 Ir2'
_cell_length_a 4.0974
_cell_length_b 2.8025
_cell_length_c 9.5556
_cell_angle_alpha 90.00
_cell_angle_beta 90.00
_cell_angle_gamma 90.00
_symmetry_space_group_name_H-M 'A m m 2'
_symmetry_Int_Tables_number 38
loop_
_symmetry_equiv_pos_as_xyz
'x,y,z'
'-x,-y,z'
'-x,y,z'
'x,-y,z'
'x,y+1/2,z+1/2'
'-x,-y+1/2,z+1/2'
'-x,y+1/2,z+1/2'
'x,-y+1/2,z+1/2'
loop_
_atom_site_label
_atom_site_fract_x
_atom_site_fract_y
_atom_site_fract_z
Sc1 0.0000 0.0000 0.0000
Co1 0.0000 0.0000 0.7373
Co2 0.5000 0.0000 0.6016
Ir1 0.5000 0.0000 0.3247
```

=====

Record 3
## TlInAgHg2 (PBE-GGA)

Data for an optimized crystal structure of TlInAgHg2.

## Properties
VASP energy: -1.533 eV/atom
formation energy: 179 meV/atom

Structure (CIF):
```
data_TlInAgHg2
_chemical_formula_sum 'Tl1 In1 Ag1 Hg2'
_cell_length_a 5.3986
_cell_length_b 5.3986
_cell_length_c 5.3361
_cell_angle_alpha 90.00
_cell_angle_beta 90.00
_cell_angle_gamma 90.00
_symmetry_space_group_name_H-M 'P 4/m m m'
_symmetry_Int_Tables_number 123
_symmetry_space_group_name_Hall '-P 4 2'
loop_
_atom_site_label
_atom_site_fract_x
_atom_site_fract_y
_atom_site_fract_z
Tl1 0.0000 0.0000 0.0000
In1 0.5000 0.5000 0.0000
Ag1 0.5000 0.5000 0.5000
Hg1 0.0000 0.5000 0.5000
```

=====

Record 4
## CsTlCu2Br5 (PBE-GGA)

Data for an optimized crystal structure of CsTlCu2Br5.

## Properties
formation energy (no corrections): -6.7 eV/f.u.
VASP energy: -2.937 eV/atom

Structure (CIF):
```
data_CsTlCu2Br5
_chemical_formula_sum 'Cs1 Tl1 Cu2 Br5'
_cell_length_a 5.0714
_cell_length_b 5.0714
_cell_length_c 10.7955
_cell_angle_alpha 90.00
_cell_angle_beta 90.00
_cell_angle_gamma 90.00
_symmetry_space_group_name_H-M 'P 4/m m m'
_symmetry_Int_Tables_number 123
_symmetry_space_group_name_Hall '-P 4 2'
loop_
_atom_site_label
_atom_site_fract_x
_atom_site_fract_y
_atom_site_fract_z
Cs1 0.0000 0.0000 0.0000
Tl1 0.0000 0.0000 0.5000
Cu1 0.5000 0.5000 0.2423
Br1 0.0000 0.5000 0.2846
Br2 0.5000 0.5000 0.0000
```

=====

Record 5
## HoNp2S4 (PBE-GGA)

Data for an optimized crystal structure of HoNp2S4.

## Properties
distance to the lowest polymorph of the same formula: 28 meV per atom
formation energy (no corrections): -10.7 eV/f.u.
VASP energy: -8.238 eV/atom

Structure (CIF):
```
data_HoNp2S4
_chemical_formula_sum 'Ho4 Np8 S16'
_cell_length_a 7.7859
_cell_length_b 7.8760
_cell_length_c 11.0269
_cell_angle_alpha 90.00
_cell_angle_beta 90.00
_cell_angle_gamma 90.00
_symmetry_space_group_name_H-M 'I m m a'
_symmetry_Int_Tables_number 74
_symmetry_space_group_name_Hall '-I 2b 2'
loop_
_atom_site_label
_atom_site_fract_x
_atom_site_fract_y
_atom_site_fract_z
Ho1 0.2500 0.2500 0.2500
Np1 0.0000 0.0000 0.0000
Np2 0.2500 0.2500 0.7500
S1 0.0000 0.0020 0.2532
S2 0.2415 0.2500 0.0022
```

=====

Record 6
## Li4U3MoN8 (PBE-GGA)

Data for an optimized crystal structure of Li4U3MoN8.

## Properties
formation energy (no corrections): -14.8 eV/f.u.
VASP energy: -8.360 eV/atom

Structure (CIF):
```
data_Li4U3MoN8
_chemical_formula_sum 'Li12 U9 Mo3 N24'
_cell_length_a 6.7040
_cell_length_b 6.7040
_cell_length_c 15.2821
_cell_angle_alpha 90.00
_cell_angle_beta 90.00
_cell_angle_gamma 120.00
_symmetry_space_group_name_H-M 'R -3 m'
_symmetry_Int_Tables_number 166
_symmetry_space_group_name_Hall '-R 3 2"'
loop_
_atom_site_label
_atom_site_fract_x
_atom_site_fract_y
_atom_site_fract_z
Li1 0.0000 0.0000 0.0000
Li2 0.0000 0.5000 0.0000
U1 0.0000 0.5000 0.5000
Mo1 0.0000 0.0000 0.5000
N1 0.0000 0.0000 0.2386
N2 0.0021 0.5010 0.7629
```

=====

Record 7
## Tb2Nd3Y7 (PBE-GGA)

Data for an optimized crystal structure of Tb2Nd3Y7.

## Properties
VASP energy: -5.651 eV/atom
formation energy: 83 meV/atom

Structure (CIF):
```
data_Tb2Nd3Y7
_chemical_formula_sum 'Tb2 Nd3 Y7'
_cell_length_a 6.3965
_cell_length_b 3.5490
_cell_length_c 17.6803
_cell_angle_alpha 90.00
_cell_angle_beta 96.10
_cell_angle_gamma 90.00
_symmetry_space_group_name_H-M 'P 1 2/m 1'
_symmetry_Int_Tables_number 10
loop_
_symmetry_equiv_pos_as_xyz
'x,y,z'
'-x,-y,-z'
'-x,y,-z'
'x,-y,z'
loop_
_atom_site_label
_atom_site_fract_x
_atom_site_fract_y
_atom_site_fract_z
Tb1 0.0540 0.0000 0.1736
Nd1 0.4552 0.5000 0.8409
Nd2 0.5000 0.0000 0.5000
Y1 0.0000 0.5000 0.5000
Y2 0.2262 0.0000 0.6667
Y3 0.2530 0.0000 0.9994
Y4 0.2697 0.5000 0.3343
```

=====

Record 8
## ZrFeCoRu (PBE-GGA)

Data for an optimized crystal structure of ZrFeCoRu.

## Properties
VASP energy: -8.483 eV/atom
formation energy: -135 meV/atom

Structure (CIF):
```
data_ZrFeCoRu
_chemical_formula_sum 'Zr4 Fe4 Co4 Ru4'
_cell_length_a 6.1883
_cell_length_b 6.1883
_cell_length_c 6.1883
_cell_angle_alpha 90.00
_cell_angle_beta 90.00
_cell_angle_gamma 90.00
_symmetry_space_group_name_H-M 'F -4 3 m'
_symmetry_Int_Tables_number 216
_symmetry_space_group_name_Hall 'F -4 2 3'
loop_
_atom_site_label
_atom_site_fract_x
_atom_site_fract_y
_atom_site_fract_z
Zr1 0.0000 0.0000 0.0000
Fe1 0.0000 0.0000 0.5000
Co1 0.2500 0.2500 0.7500
Ru1 0.2500 0.2500 0.2500
```